1.
This record from Alexandria via LeMat-Bulk describes TcSbPb2 after structural relaxation. The functional is GGA-PBE.

a = 5.2850 Å, b = 3.6634 Å, c = 6.1833 Å
α = 60.37°, β = 90.00°, γ = 90.00°
With the nearest neighbours (Å) after each atom.
Sites, in units of the cell vectors:
1 Pb 0.0000 0.8112 0.9837  2 Tc 3.07, 3 Pb 3.08-3.14, 2 Sb 3.25
2 Pb 0.0000 0.6888 0.5163  2 Tc 3.07, 3 Pb 3.08-3.14, 2 Sb 3.25
3 Sb 0.5000 0.2500 0.2500  2 Tc 2.70
4 Tc 0.5000 0.7500 0.7500  2 Sb 2.70

Results
N(E_F): 3.452 states/eV per cell
formation energy (no corrections): 60.8 kJ/mol of atoms

---

2.
This record from Alexandria via LeMat-Bulk describes Rb2HgN after structural relaxation. The functional is GGA-PBE.

a = 5.6403 Å, b = 5.6403 Å, c = 5.6403 Å
α = 60.00°, β = 60.00°, γ = 60.00°
With the nearest neighbours (Å) after each atom.
Sites, in units of the cell vectors:
1 Hg 0.5000 0.5000 0.5000  8 Rb 3.45
2 Rb 0.2500 0.2500 0.2500  4 Hg 3.45, 4 N 3.45
3 Rb 0.7500 0.7500 0.7500  4 Hg 3.45, 4 N 3.45
4 N 0.0000 0.0000 0.0000  8 Rb 3.45

Results
N(E_F): 2.975 states/eV per cell
formation energy (no corrections): 65.4 kJ/mol of atoms

---

3.
This record from Alexandria via LeMat-Bulk describes MgScB after structural relaxation. The functional is GGA-PBE.

a = 4.8089 Å, b = 7.6934 Å, c = 3.1345 Å
α = 78.23°, β = 109.09°, γ = 92.33°
With the nearest neighbours (Å) after each atom.
Sites, in units of the cell vectors:
1 Sc 0.1055 0.2468 0.7396  6 B 2.50-2.60
2 Sc 0.6150 0.5324 0.8504  3 B 2.34-2.48
3 Mg 0.0480 0.7739 0.4477  5 Mg 2.87-3.13, 3 Sc 3.11-3.14
4 Mg 0.5822 0.9694 0.6164  3 B 2.34-2.52
5 B 0.6739 0.2233 0.0352  2 B 1.71
6 B 0.5571 0.2801 0.4482  2 B 1.71

Results
N(E_F): 5.049 states/eV per cell
E_form: -118.3 meV per atom